LiMnGeRh after structural relaxation. Source: Alexandria via LeMat-Bulk, functional PBE-GGA.

Cell: 4.2405 4.2405 4.2405 Å, 60.00 60.00 60.00°
Closest atoms and distances in Å follow each position.
Sites, in units of the cell vectors:
Ge (0.2500, 0.2500, 0.2500)  4 Li 2.60, 4 Rh 2.60
Mn (0.7500, 0.7500, 0.7500)  4 Rh 2.60, 4 Li 2.60
Rh (0.0000, 0.0000, 0.0000)  4 Mn 2.60, 4 Ge 2.60
Li (0.5000, 0.5000, 0.5000)  4 Ge 2.60, 4 Mn 2.60

Volume: 53.9 Å³/cell
DFT formation energy: -8.5 kcal/mol of atoms